(a)
This record from the Alexandria database describes an optimized crystal structure of AgSeBr3. The functional is GGA-PBE.

Cell lengths 8.2497, 7.8301, 12.0330 Å; angles 90.00, 99.20, 90.00 degrees
Space group P2_1/c (No. 14)
Unique sites:
Ag: 0.0966 0.0171 0.1655 x4
Se: 0.4068 0.5165 0.4058 x4
Br: 0.1546 0.1835 0.7826 x4
Br: 0.1599 0.6837 0.4740 x4
Br: 0.4110 0.5966 0.7278 x4

crystal system: monoclinic

=====

(b)
This record from the Alexandria database describes an optimized crystal structure of AgSeBr3. The functional is GGA-PBE.

Cell lengths 5.3506, 5.3506, 5.3506 Å; angles 90.00, 90.00, 90.00 degrees
Space group Pm-3m (No. 221)
Unique sites:
Ag: 0.0000 0.0000 0.0000 x1
Se: 0.5000 0.5000 0.5000 x1
Br: 0.0000 0.0000 0.5000 x3

crystal system: cubic

=====

(c)
This record from the Alexandria database describes an optimized crystal structure of AgSeBr3. The functional is GGA-PBE.

Cell lengths 6.4795, 7.4337, 15.8429 Å; angles 90.00, 99.92, 90.00 degrees
Space group P2_1/c (No. 14)
Unique sites:
Ag: 0.0682 0.1189 0.0802 x4
Se: 0.1679 0.6094 0.1699 x4
Br: 0.1010 0.0779 0.8027 x4
Br: 0.2671 0.6982 0.5422 x4
Br: 0.3699 0.1389 0.6250 x4

crystal system: monoclinic

=====

(d)
This record from the Alexandria database describes an optimized crystal structure of AgSeBr3. The functional is GGA-PBE.

Cell lengths 5.3730, 5.3730, 5.3730 Å; angles 90.00, 90.00, 90.00 degrees
Space group Pm-3m (No. 221)
Unique sites:
Ag: 0.0000 0.0000 0.0000 x1
Se: 0.5000 0.5000 0.5000 x1
Br: 0.0000 0.5000 0.5000 x3

crystal system: cubic

=====

Here is how they stack up, most stable first: (c), (a), (d), (b).